No. 1
## Ac4As2PCl (GGA-PBE)

Data for a geometry-optimized Ac4As2PCl structure.

Calculated values
The volume comes out at 253.0 Å³/cell. The calculation puts the total energy at -5.665 eV per atom.

The structure in CIF format:
```
data_Ac4As2PCl
_cell_length_a 7.759
_cell_length_b 7.759
_cell_length_c 7.759
_cell_angle_alpha 131.98
_cell_angle_beta 131.98
_cell_angle_gamma 70.26
_symmetry_space_group_name_H-M 'P 1'
_symmetry_Int_Tables_number 1
loop_
_symmetry_equiv_pos_as_xyz
'x,y,z'
loop_
_atom_site_label
_atom_site_type_symbol
_atom_site_fract_x
_atom_site_fract_y
_atom_site_fract_z
_atom_site_occupancy
Ac1 Ac 0.000 0.500 0.500 1
Ac2 Ac 0.237 0.237 0.000 1
Ac3 Ac 0.500 0.000 0.500 1
Ac4 Ac 0.763 0.763 0.000 1
As1 As 0.250 0.750 0.500 1
As2 As 0.750 0.250 0.500 1
P1 P 0.000 0.000 0.000 1
Cl1 Cl 0.500 0.500 0.000 1
```

No. 2
## Ac6As2P3Cl (GGA-PBE)

Data for a geometry-optimized Ac6As2P3Cl structure.

Calculated values
The volume comes out at 378.6 Å³/cell. The calculation puts the total energy at -5.883 eV per atom.

The structure in CIF format:
```
data_Ac6As2P3Cl
_cell_length_a 10.000
_cell_length_b 10.000
_cell_length_c 8.967
_cell_angle_alpha 103.39
_cell_angle_beta 103.39
_cell_angle_gamma 25.77
_symmetry_space_group_name_H-M 'P 1'
_symmetry_Int_Tables_number 1
loop_
_symmetry_equiv_pos_as_xyz
'x,y,z'
loop_
_atom_site_label
_atom_site_type_symbol
_atom_site_fract_x
_atom_site_fract_y
_atom_site_fract_z
_atom_site_occupancy
Ac1 Ac 0.002 0.002 0.232 1
Ac2 Ac 0.327 0.327 0.418 1
Ac3 Ac 0.334 0.334 0.915 1
Ac4 Ac 0.666 0.666 0.085 1
Ac5 Ac 0.673 0.673 0.582 1
Ac6 Ac 0.998 0.998 0.768 1
As1 As 0.164 0.164 0.827 1
As2 As 0.836 0.836 0.173 1
P1 P 0.165 0.165 0.335 1
P2 P 0.500 0.500 0.000 1
P3 P 0.835 0.835 0.665 1
Cl1 Cl 0.500 0.500 0.500 1
```

No. 3
## Ac4AsPdCl2 (GGA-PBE)

Data for a geometry-optimized Ac4AsPdCl2 structure.

Calculated values
The volume comes out at 253.0 Å³/cell. The calculation puts the total energy at -5.064 eV per atom.

The structure in CIF format:
```
data_Ac4AsPdCl2
_cell_length_a 7.526
_cell_length_b 4.387
_cell_length_c 8.095
_cell_angle_alpha 90.00
_cell_angle_beta 108.84
_cell_angle_gamma 90.00
_symmetry_space_group_name_H-M 'P 1'
_symmetry_Int_Tables_number 1
loop_
_symmetry_equiv_pos_as_xyz
'x,y,z'
loop_
_atom_site_label
_atom_site_type_symbol
_atom_site_fract_x
_atom_site_fract_y
_atom_site_fract_z
_atom_site_occupancy
Ac1 Ac 0.227 0.000 0.232 1
Ac2 Ac 0.241 0.500 0.746 1
Ac3 Ac 0.759 0.500 0.254 1
Ac4 Ac 0.773 0.000 0.768 1
As1 As 0.000 0.000 0.500 1
Pd1 Pd 0.000 0.500 0.000 1
Cl1 Cl 0.500 0.000 0.000 1
Cl2 Cl 0.500 0.500 0.500 1
```

No. 4
## Ac4AsPtCl2 (GGA-PBE)

Data for a geometry-optimized Ac4AsPtCl2 structure.

Calculated values
The volume comes out at 255.4 Å³/cell. The calculation puts the total energy at -5.289 eV per atom.

The structure in CIF format:
```
data_Ac4AsPtCl2
_cell_length_a 7.590
_cell_length_b 4.392
_cell_length_c 8.103
_cell_angle_alpha 90.00
_cell_angle_beta 108.99
_cell_angle_gamma 90.00
_symmetry_space_group_name_H-M 'P 1'
_symmetry_Int_Tables_number 1
loop_
_symmetry_equiv_pos_as_xyz
'x,y,z'
loop_
_atom_site_label
_atom_site_type_symbol
_atom_site_fract_x
_atom_site_fract_y
_atom_site_fract_z
_atom_site_occupancy
Ac1 Ac 0.221 0.000 0.227 1
Ac2 Ac 0.237 0.500 0.748 1
Ac3 Ac 0.763 0.500 0.252 1
Ac4 Ac 0.779 0.000 0.773 1
As1 As 0.000 0.000 0.500 1
Pt1 Pt 0.000 0.500 0.000 1
Cl1 Cl 0.500 0.000 0.000 1
Cl2 Cl 0.500 0.500 0.500 1
```

No. 5
## AcPuAsCl (GGA-PBE)

Data for a geometry-optimized AcPuAsCl structure.

Calculated values
The volume comes out at 103.5 Å³/cell. The calculation puts the total energy at -7.377 eV per atom.

The structure in CIF format:
```
data_AcPuAsCl
_cell_length_a 5.270
_cell_length_b 5.270
_cell_length_c 5.270
_cell_angle_alpha 60.00
_cell_angle_beta 60.00
_cell_angle_gamma 60.00
_symmetry_space_group_name_H-M 'P 1'
_symmetry_Int_Tables_number 1
loop_
_symmetry_equiv_pos_as_xyz
'x,y,z'
loop_
_atom_site_label
_atom_site_type_symbol
_atom_site_fract_x
_atom_site_fract_y
_atom_site_fract_z
_atom_site_occupancy
Ac1 Ac 0.000 0.000 0.000 1
Pu1 Pu 0.500 0.500 0.500 1
As1 As 0.250 0.250 0.250 1
Cl1 Cl 0.750 0.750 0.750 1
```

No. 6
## Ac8AsRh3Cl4 (GGA-PBE)

Data for a geometry-optimized Ac8AsRh3Cl4 structure.

Calculated values
The volume comes out at 529.1 Å³/cell. The calculation puts the total energy at -5.448 eV per atom.

The structure in CIF format:
```
data_Ac8AsRh3Cl4
_cell_length_a 9.337
_cell_length_b 9.337
_cell_length_c 9.337
_cell_angle_alpha 56.50
_cell_angle_beta 56.50
_cell_angle_gamma 56.50
_symmetry_space_group_name_H-M 'P 1'
_symmetry_Int_Tables_number 1
loop_
_symmetry_equiv_pos_as_xyz
'x,y,z'
loop_
_atom_site_label
_atom_site_type_symbol
_atom_site_fract_x
_atom_site_fract_y
_atom_site_fract_z
_atom_site_occupancy
Ac1 Ac 0.221 0.743 0.743 1
Ac2 Ac 0.235 0.235 0.235 1
Ac3 Ac 0.257 0.257 0.779 1
Ac4 Ac 0.257 0.779 0.257 1
Ac5 Ac 0.743 0.221 0.743 1
Ac6 Ac 0.743 0.743 0.221 1
Ac7 Ac 0.765 0.765 0.765 1
Ac8 Ac 0.779 0.257 0.257 1
As1 As 0.500 0.500 0.500 1
Rh1 Rh 0.000 0.000 0.500 1
Rh2 Rh 0.000 0.500 0.000 1
Rh3 Rh 0.500 0.000 0.000 1
Cl1 Cl 0.000 0.000 0.000 1
Cl2 Cl 0.000 0.500 0.500 1
Cl3 Cl 0.500 0.000 0.500 1
Cl4 Cl 0.500 0.500 0.000 1
```

No. 7
## Ac4AsRhCl2 (GGA-PBE)

Data for a geometry-optimized Ac4AsRhCl2 structure.

Calculated values
The volume comes out at 255.6 Å³/cell. The calculation puts the total energy at -5.343 eV per atom.

The structure in CIF format:
```
data_Ac4AsRhCl2
_cell_length_a 7.702
_cell_length_b 4.319
_cell_length_c 8.064
_cell_angle_alpha 90.00
_cell_angle_beta 107.64
_cell_angle_gamma 90.00
_symmetry_space_group_name_H-M 'P 1'
_symmetry_Int_Tables_number 1
loop_
_symmetry_equiv_pos_as_xyz
'x,y,z'
loop_
_atom_site_label
_atom_site_type_symbol
_atom_site_fract_x
_atom_site_fract_y
_atom_site_fract_z
_atom_site_occupancy
Ac1 Ac 0.215 0.000 0.221 1
Ac2 Ac 0.229 0.500 0.751 1
Ac3 Ac 0.771 0.500 0.249 1
Ac4 Ac 0.785 0.000 0.779 1
As1 As 0.000 0.000 0.500 1
Rh1 Rh 0.000 0.500 0.000 1
Cl1 Cl 0.500 0.000 0.000 1
Cl2 Cl 0.500 0.500 0.500 1
```

No. 8
## Ac6AsRh2Cl3 (GGA-PBE)

Data for a geometry-optimized Ac6AsRh2Cl3 structure.

Calculated values
The volume comes out at 398.1 Å³/cell. The calculation puts the total energy at -5.419 eV per atom.

The structure in CIF format:
```
data_Ac6AsRh2Cl3
_cell_length_a 7.685
_cell_length_b 7.685
_cell_length_c 8.183
_cell_angle_alpha 98.96
_cell_angle_beta 98.96
_cell_angle_gamma 119.92
_symmetry_space_group_name_H-M 'P 1'
_symmetry_Int_Tables_number 1
loop_
_symmetry_equiv_pos_as_xyz
'x,y,z'
loop_
_atom_site_label
_atom_site_type_symbol
_atom_site_fract_x
_atom_site_fract_y
_atom_site_fract_z
_atom_site_occupancy
Ac1 Ac 0.080 0.431 0.791 1
Ac2 Ac 0.219 0.219 0.209 1
Ac3 Ac 0.431 0.080 0.791 1
Ac4 Ac 0.569 0.920 0.209 1
Ac5 Ac 0.781 0.781 0.791 1
Ac6 Ac 0.920 0.569 0.209 1
As1 As 0.500 0.500 0.000 1
Rh1 Rh 0.167 0.833 0.000 1
Rh2 Rh 0.833 0.167 0.000 1
Cl1 Cl 0.000 0.000 0.500 1
Cl2 Cl 0.340 0.660 0.500 1
Cl3 Cl 0.660 0.340 0.500 1
```

Calculated formation energy from raw total energies in order - -1.542, -1.547, -1.318, -1.437, -1.143, -1.263, -1.327, -1.290 eV/atom
Calculated spin magnetization in order - 0.0000, 0.0000, 0.0000, 0.0000, 1.6965, 0.0000, 0.0000, 0.0000 μB per atom